[1]
Computed, not measured: an optimized crystal structure of NpAlN at the PBE level of DFT.

Lattice parameters (Å, degrees): 6.8597 6.8597 6.8597 157.10 157.10 32.61
With the nearest neighbours (Å) after each atom.
Element x y z (fractional)
Np (0.0000, 0.0000, 0.0000)  1 N 2.62, 4 Np 2.72
Al (0.3065, 0.3065, 0.0000)  4 N 1.93
N (0.8009, 0.8009, 0.0000)  4 Al 1.93

Summary:
Total moment   3.305 μB per cell
DOS(E_F)   3.12 states/eV/cell
VASP energy   -8.493 eV per atom
Space-group type   No. 107

***

[2]
Computed, not measured: an optimized crystal structure of Y2Al4GeAu3 at the PBE level of DFT.

Lattice parameters (Å, degrees): 4.2853 4.2853 10.7821 90.00 90.00 90.00
With the nearest neighbours (Å) after each atom.
Element x y z (fractional)
Y (0.0000, 0.5000, 0.2473)  8 Al 3.25-3.47, 6 Au 3.28-3.42, 2 Ge 3.42
Y (0.5000, 0.0000, 0.7527)  8 Al 3.25-3.47, 6 Au 3.28-3.42, 2 Ge 3.42
Al (0.0000, 0.0000, 0.5000)  4 Au 2.59
Al (0.0000, 0.5000, 0.8623)  3 Au 2.45-2.61, 2 Ge 2.61
Al (0.5000, 0.0000, 0.1377)  3 Au 2.45-2.61, 2 Ge 2.61
Al (0.5000, 0.5000, 0.5000)  4 Au 2.59
Ge (0.5000, 0.5000, 0.0000)  4 Al 2.61
Au (0.0000, 0.0000, 0.0000)  4 Al 2.61
Au (0.0000, 0.5000, 0.6354)  5 Al 2.45-2.59
Au (0.5000, 0.0000, 0.3646)  5 Al 2.45-2.59

Summary:
Total moment   0.000 μB per cell
DOS(E_F)   4.26 states/eV/cell
VASP energy   -4.881 eV per atom
Space-group type   No. 115
Formation enthalpy at 0 K   -14.901 kcal/mol of atoms

***

[3]
Computed, not measured: an optimized crystal structure of Tm5BiTe4 at the PBE level of DFT.

Lattice parameters (Å, degrees): 11.4110 11.4110 11.4110 158.01 148.97 38.36
With the nearest neighbours (Å) after each atom.
Element x y z (fractional)
Tm (0.0000, 0.0000, 0.0000)  2 Bi 3.05, 4 Te 3.07
Tm (0.1997, 0.1997, 0.0000)  6 Te 3.05
Tm (0.3987, 0.3987, 0.0000)  4 Te 3.05-3.06, 2 Bi 3.08
Tm (0.6013, 0.6013, 0.0000)  4 Te 3.05-3.06, 2 Bi 3.08
Tm (0.8003, 0.8003, 0.0000)  6 Te 3.05
Bi (0.5000, 0.0000, 0.5000)  6 Tm 3.05-3.08
Te (0.1003, 0.6003, 0.5000)  6 Tm 3.05-3.07
Te (0.2989, 0.7989, 0.5000)  6 Tm 3.05-3.06
Te (0.7011, 0.2011, 0.5000)  6 Tm 3.05-3.06
Te (0.8997, 0.3997, 0.5000)  6 Tm 3.05-3.07

Summary:
Total moment   0.000 μB per cell
DOS(E_F)   4.96 states/eV/cell
VASP energy   -4.981 eV per atom
Space-group type   No. 71

***

[4]
Computed, not measured: an optimized crystal structure of CaAc3Tb3Te8 at the PBE level of DFT.

Lattice parameters (Å, degrees): 9.1680 9.1680 9.1680 58.77 58.77 58.77
With the nearest neighbours (Å) after each atom.
Element x y z (fractional)
Ca (0.0000, 0.0000, 0.0000)  6 Te 3.21
Ac (0.0000, 0.0000, 0.5000)  6 Te 3.32
Ac (0.0000, 0.5000, 0.0000)  6 Te 3.32
Ac (0.5000, 0.0000, 0.0000)  6 Te 3.32
Tb (0.0000, 0.5000, 0.5000)  6 Te 3.11
Tb (0.5000, 0.0000, 0.5000)  6 Te 3.11
Tb (0.5000, 0.5000, 0.0000)  6 Te 3.11
Te (0.2503, 0.2503, 0.7340)  2 Tb 3.11, 1 Ca 3.21, 2 Ac 3.32
Te (0.2503, 0.7340, 0.2503)  2 Tb 3.11, 1 Ca 3.21, 2 Ac 3.32
Te (0.2581, 0.2581, 0.2581)  3 Tb 3.11, 3 Ac 3.32
Te (0.2660, 0.7497, 0.7497)  2 Tb 3.11, 1 Ca 3.21, 2 Ac 3.32
Te (0.7340, 0.2503, 0.2503)  2 Tb 3.11, 1 Ca 3.21, 2 Ac 3.32
Te (0.7419, 0.7419, 0.7419)  3 Tb 3.11, 3 Ac 3.32
Te (0.7497, 0.2660, 0.7497)  2 Tb 3.11, 1 Ca 3.21, 2 Ac 3.32
Te (0.7497, 0.7497, 0.2660)  2 Tb 3.11, 1 Ca 3.21, 2 Ac 3.32

Summary:
Total moment   0.000 μB per cell
DOS(E_F)   3.87 states/eV/cell
VASP energy   -5.034 eV per atom
Space-group type   No. 166

***

[5]
Computed, not measured: an optimized crystal structure of AcPm3Nd4 at the PBE level of DFT.

Lattice parameters (Å, degrees): 10.4661 7.4217 7.4141 90.00 90.00 90.00
With the nearest neighbours (Å) after each atom.
Element x y z (fractional)
Ac (0.0000, 0.0000, 0.0000)  8 Nd 3.71-3.72, 4 Pm 3.72
Ac (0.5000, 0.0000, 0.5000)  8 Nd 3.71-3.72, 4 Pm 3.72
Pm (0.0000, 0.5000, 0.5000)  8 Nd 3.69-3.71, 4 Pm 3.69
Pm (0.2500, 0.2549, 0.2500)  8 Nd 3.64-3.78, 2 Pm 3.69, 2 Ac 3.72
Pm (0.2500, 0.7451, 0.7500)  8 Nd 3.64-3.78, 2 Pm 3.69, 2 Ac 3.72
Pm (0.5000, 0.5000, 0.0000)  8 Nd 3.69-3.71, 4 Pm 3.69
Pm (0.7500, 0.2549, 0.2500)  8 Nd 3.64-3.78, 2 Pm 3.69, 2 Ac 3.72
Pm (0.7500, 0.7451, 0.7500)  8 Nd 3.64-3.78, 2 Pm 3.69, 2 Ac 3.72
Nd (0.0000, 0.0000, 0.5000)  2 Ac 3.71, 6 Pm 3.71-3.72, 4 Nd 3.72
Nd (0.0000, 0.5000, 0.0000)  4 Nd 3.69, 6 Pm 3.69-3.71, 2 Ac 3.71
Nd (0.2500, 0.2550, 0.7500)  6 Pm 3.64-3.78, 4 Nd 3.69-3.72, 2 Ac 3.72
Nd (0.2500, 0.7450, 0.2500)  6 Pm 3.64-3.78, 4 Nd 3.69-3.72, 2 Ac 3.72
Nd (0.5000, 0.0000, 0.0000)  2 Ac 3.71, 6 Pm 3.71-3.72, 4 Nd 3.72
Nd (0.5000, 0.5000, 0.5000)  4 Nd 3.69, 6 Pm 3.69-3.71, 2 Ac 3.71
Nd (0.7500, 0.2550, 0.7500)  6 Pm 3.64-3.78, 4 Nd 3.69-3.72, 2 Ac 3.72
Nd (0.7500, 0.7450, 0.2500)  6 Pm 3.64-3.78, 4 Nd 3.69-3.72, 2 Ac 3.72

Summary:
Total moment   0.000 μB per cell
DOS(E_F)   24.16 states/eV/cell
VASP energy   -4.659 eV per atom
Space-group type   No. 53
Formation enthalpy at 0 K   0.468 kcal/mol of atoms

***

[6]
Computed, not measured: an optimized crystal structure of BaGa6Pd4 at the PBE level of DFT.

Lattice parameters (Å, degrees): 7.4425 7.4425 4.2277 90.00 90.00 120.00
With the nearest neighbours (Å) after each atom.
Element x y z (fractional)
Ba (0.0000, 0.0000, 0.0000)  12 Ga 3.36-3.75, 6 Pd 3.40
Ga (0.2027, 0.4055, 0.5000)  4 Pd 2.64-2.70, 2 Ga 2.92
Ga (0.2027, 0.7973, 0.5000)  4 Pd 2.64-2.70, 2 Ga 2.92
Ga (0.5361, 0.0721, 0.0000)  5 Pd 2.61-2.69, 2 Ga 2.92
Ga (0.5361, 0.4639, 0.0000)  5 Pd 2.61-2.69, 2 Ga 2.92
Ga (0.5945, 0.7973, 0.5000)  4 Pd 2.64-2.70, 2 Ga 2.92
Ga (0.9279, 0.4639, 0.0000)  5 Pd 2.61-2.69, 2 Ga 2.92
Pd (0.3333, 0.6667, 0.0000)  9 Ga 2.61-2.70
Pd (0.4132, 0.2066, 0.5000)  6 Ga 2.64-2.69, 2 Pd 2.83
Pd (0.7934, 0.2066, 0.5000)  6 Ga 2.64-2.69, 2 Pd 2.83
Pd (0.7934, 0.5868, 0.5000)  6 Ga 2.64-2.69, 2 Pd 2.83

Summary:
Total moment   0.000 μB per cell
DOS(E_F)   2.46 states/eV/cell
VASP energy   -4.299 eV per atom
Space-group type   No. 187
Formation enthalpy at 0 K   -13.494 kcal/mol of atoms

***

What is the total moment in the sixth record?
0.000 μB per cell

***

The lowest DOS(E_F) belongs to which entry?
BaGa6Pd4